1.
! Gd2In5Ga PBE optimized geometry; values from VASP
! Crystal system: orthorhombic
! Calculated total energy: -3.64 eV/atom
! SG: No. 38
! Spin magnetization: 0.00 μB/f.u.
&SYSTEM
  ibrav = 0, nat = 8, ntyp = 3
/
ATOMIC_SPECIES
Gd 157.25 Gd.upf
In 114.82 In.upf
Ga 69.72 Ga.upf
CELL_PARAMETERS angstrom
-0.785 0.428 5.041
-0.977 -6.606 0.409
5.079 -4.201 1.147
ATOMIC_POSITIONS crystal
Gd 0.000 0.670 0.670
Gd 0.500 0.326 0.326
In 0.000 0.165 0.682
In 0.500 0.841 0.318
In 0.500 0.840 0.840
In 0.000 0.682 0.165
In 0.500 0.318 0.841
Ga 0.000 0.158 0.158

2.
! GdInGa2 PBE optimized geometry; values from VASP
! Crystal system: orthorhombic
! Calculated total energy: -3.81 eV/atom
! SG: No. 38
! Spin magnetization: 0.00 μB/f.u.
&SYSTEM
  ibrav = 0, nat = 8, ntyp = 3
/
ATOMIC_SPECIES
In 114.82 In.upf
Ga 69.72 Ga.upf
Gd 157.25 Gd.upf
CELL_PARAMETERS angstrom
-0.259 -0.225 -4.748
-5.888 -2.789 0.453
-5.441 3.609 0.125
ATOMIC_POSITIONS crystal
In 0.000 0.836 0.311
In 0.000 0.311 0.836
Ga 0.500 0.703 0.144
Ga 0.500 0.144 0.703
Ga 0.000 0.848 0.848
Ga 0.500 0.150 0.150
Gd 0.500 0.678 0.678
Gd 0.000 0.329 0.329